The following is a PBE calculation of a relaxed structure of KBaNbGa2, from Alexandria.

abc: 5.295 5.295 5.693
angles: 90.00 90.00 90.00
Space group P4/mmm (No. 123)
Inequivalent atoms, fractional coordinates:
1 K 0.000 0.000 0.000 (multiplicity 1)
2 Ba 0.500 0.500 0.000 (multiplicity 1)
3 Nb 0.500 0.500 0.500 (multiplicity 1)
4 Ga 0.000 0.500 0.500 (multiplicity 2)

Summary:
Energy relative to the elements (eV per atom): 0.2857
Energy (eV per atom): -3.54

***

The following is a PBE calculation of a relaxed structure of KBa2GaNi, from Alexandria.

abc: 6.208 6.208 4.851
angles: 90.00 90.00 90.00
Space group P4/mmm (No. 123)
Inequivalent atoms, fractional coordinates:
1 K 0.000 0.000 0.000 (multiplicity 1)
2 Ba 0.000 0.500 0.500 (multiplicity 2)
3 Ga 0.500 0.500 0.000 (multiplicity 1)
4 Ni 0.500 0.500 0.500 (multiplicity 1)

Summary:
Energy relative to the elements (eV per atom): -0.0153
Energy (eV per atom): -2.77

***

Copy entry 1 word for word.
The following is a PBE calculation of a relaxed structure of KBaNbGa2, from Alexandria.

abc: 5.295 5.295 5.693
angles: 90.00 90.00 90.00
Space group P4/mmm (No. 123)
Inequivalent atoms, fractional coordinates:
1 K 0.000 0.000 0.000 (multiplicity 1)
2 Ba 0.500 0.500 0.000 (multiplicity 1)
3 Nb 0.500 0.500 0.500 (multiplicity 1)
4 Ga 0.000 0.500 0.500 (multiplicity 2)

Summary:
Energy relative to the elements (eV per atom): 0.2857
Energy (eV per atom): -3.54